No. 1
The following is a PBE calculation of a relaxed structure of UZnFe2, from the Alexandria database.

```
4
Lattice="4.0956 0.0000 0.0000 0.0000 4.0956 0.0000 0.0000 0.0000 3.3576" Properties=species:S:1:pos:R:3 pbc="T T T"
U 0.0000 0.0000 0.0000
Zn 2.0478 2.0478 0.0000
Fe 0.0000 2.0478 1.6788
Fe 2.0478 0.0000 1.6788
```

Computed properties:
- SG = P4/mmm (123)
- E_tot (eV per cell) = -29.6
- V (Å³ per cell) = 56
- energy relative to the elements (meV/atom) = -36

No. 2
The following is a PBE calculation of a relaxed structure of U2ZnFe, from the Alexandria database.

```
4
Lattice="1.4556 0.8404 10.4894 -1.4556 0.8404 10.4894 0.0000 -1.6808 10.4894" Properties=species:S:1:pos:R:3 pbc="T T T"
U 0.0000 0.0000 3.0604
U 0.0000 0.0000 28.4077
Zn 0.0000 0.0000 0.0000
Fe 0.0000 0.0000 15.7341
```

Computed properties:
- SG = R-3m (166)
- E_tot (eV per cell) = -30.5
- V (Å³ per cell) = 77
- energy relative to the elements (meV/atom) = 452

No. 3
The following is a PBE calculation of a relaxed structure of UZn20Fe2, from the Alexandria database.

```
46
Lattice="0.0000 7.0315 7.0315 7.0315 0.0000 7.0315 7.0315 7.0315 0.0000" Properties=species:S:1:pos:R:3 pbc="T T T"
U 1.7579 1.7579 1.7579
U 12.3051 12.3051 12.3051
Zn 0.0000 0.0000 0.0000
Zn 3.5158 3.5158 0.0000
Zn 3.5158 0.0000 3.5158
Zn 4.5869 2.6848 2.6848
Zn 7.8624 5.9604 2.6848
Zn 7.8624 2.6848 5.9604
Zn 9.4761 6.2006 6.2006
Zn 11.3782 8.1026 6.2006
Zn 11.3782 6.2006 8.1026
Zn 5.2736 5.2736 3.3617
Zn 5.2736 3.3617 5.2736
Zn 7.1856 5.2736 5.2736
Zn 2.6848 4.5869 2.6848
Zn 5.9604 7.8624 2.6848
Zn 2.6848 2.6848 4.5869
Zn 7.8624 7.8624 4.5869
Zn 5.9604 2.6848 7.8624
Zn 7.8624 4.5869 7.8624
Zn 8.7894 8.7894 6.8774
Zn 8.7894 6.8774 8.7894
Zn 10.7013 8.7894 8.7894
Zn 0.0000 3.5158 3.5158
Zn 3.3617 5.2736 5.2736
Zn 5.2736 7.1856 5.2736
Zn 5.2736 5.2736 7.1856
Zn 6.2006 9.4761 6.2006
Zn 8.1026 11.3782 6.2006
Zn 6.2006 6.2006 9.4761
Zn 11.3782 11.3782 9.4761
Zn 8.1026 6.2006 11.3782
Zn 11.3782 9.4761 11.3782
Zn 6.8774 8.7894 8.7894
Zn 8.7894 10.7013 8.7894
Zn 8.7894 8.7894 10.7013
Zn 2.6848 7.8624 5.9604
Zn 2.6848 5.9604 7.8624
Zn 4.5869 7.8624 7.8624
Zn 6.2006 11.3782 8.1026
Zn 6.2006 8.1026 11.3782
Zn 9.4761 11.3782 11.3782
Fe 7.0315 3.5158 3.5158
Fe 3.5158 7.0315 3.5158
Fe 3.5158 3.5158 7.0315
Fe 7.0315 7.0315 7.0315
```

Computed properties:
- SG = Fd-3m (227)
- E_tot (eV per cell) = -109.7
- V (Å³ per cell) = 695
- energy relative to the elements (meV/atom) = -49

No. 4
The following is a PBE calculation of a relaxed structure of ZrUFe, from the Alexandria database.

```
6
Lattice="6.1060 -1.6673 0.0000 6.1060 1.6673 0.0000 -0.6675 0.0000 5.5787" Properties=species:S:1:pos:R:3 pbc="T T T"
Zr 1.5775 0.0000 1.9331
Zr 9.9670 0.0000 3.6456
U 5.1098 0.0000 0.8795
U 6.4346 0.0000 4.6992
Fe 1.9522 0.0000 4.6892
Fe 9.5922 0.0000 0.8895
```

Computed properties:
- SG = C2/m (12)
- E_tot (eV per cell) = -57.0
- V (Å³ per cell) = 114
- energy relative to the elements (meV/atom) = -67

No. 5
The following is a PBE calculation of a relaxed structure of ZrUFe4, from the Alexandria database.

```
6
Lattice="0.0000 3.5223 3.5223 3.5223 0.0000 3.5223 3.5223 3.5223 0.0000" Properties=species:S:1:pos:R:3 pbc="T T T"
Zr 0.0000 0.0000 0.0000
U 1.7611 1.7611 1.7611
Fe 4.4036 2.6409 2.6409
Fe 2.6409 4.4036 2.6409
Fe 2.6409 2.6409 4.4036
Fe 4.4036 4.4036 4.4036
```

Computed properties:
- SG = F-43m (216)
- E_tot (eV per cell) = -54.2
- V (Å³ per cell) = 87
- energy relative to the elements (meV/atom) = -89

No. 6
The following is a PBE calculation of a relaxed structure of Zr2UFe, from the Alexandria database.

```
4
Lattice="3.1234 0.0000 0.0000 0.0000 3.1234 0.0000 0.0000 0.0000 8.0151" Properties=species:S:1:pos:R:3 pbc="T T T"
Zr 0.0000 0.0000 1.6088
Zr 0.0000 0.0000 6.4063
U 1.5617 1.5617 4.0075
Fe 1.5617 1.5617 0.0000
```

Computed properties:
- SG = P4/mmm (123)
- E_tot (eV per cell) = -36.4
- V (Å³ per cell) = 78
- energy relative to the elements (meV/atom) = 103

No. 7
The following is a PBE calculation of a relaxed structure of Zr2UFe2, from the Alexandria database.

```
10
Lattice="4.5892 -2.7073 0.0000 4.5892 2.7073 0.0000 -1.3869 0.0000 7.1395" Properties=species:S:1:pos:R:3 pbc="T T T"
Zr 1.1687 0.6509 1.0789
Zr 0.4753 -0.6509 4.6486
Zr 7.3163 0.6509 2.4909
Zr 6.6228 -0.6509 6.0606
U 4.2425 0.7429 1.7849
U 3.5490 -0.7429 5.3546
Fe 2.7855 0.6618 3.5059
Fe 2.0920 -0.6618 7.0757
Fe 5.6995 0.6618 0.0638
Fe 5.0060 -0.6618 3.6336
```

Computed properties:
- SG = C2/c (15)
- E_tot (eV per cell) = -92.7
- V (Å³ per cell) = 177
- energy relative to the elements (meV/atom) = -206

No. 8
The following is a PBE calculation of a relaxed structure of V4Fe, from the Alexandria database.

```
5
Lattice="5.9313 -2.0407 0.0000 5.9313 2.0407 0.0000 -0.3704 0.0000 2.6070" Properties=species:S:1:pos:R:3 pbc="T T T"
V 1.0007 0.0000 1.0354
V 3.4924 0.0000 0.5048
V 7.9999 0.0000 2.1022
V 10.4916 0.0000 1.5716
Fe 5.9313 0.0000 0.0000
```

Computed properties:
- SG = C2/m (12)
- E_tot (eV per cell) = -45.4
- V (Å³ per cell) = 63
- energy relative to the elements (meV/atom) = -93

Q: The lowest energy relative to the elements belongs to which entry?
A: Zr2UFe2